No. 1
## HoLuSi (PBE)

Data for a relaxed HoLuSi crystal.

Cell: 6.8796 6.8796 6.8796 Å, 151.78 151.78 40.34°
Closest atoms and distances in Å follow each position.
Positions (direct):
Ho 0.0000 0.0000 0.0000  4 Si 3.00, 4 Ho 3.35
Lu 0.7212 0.7212 0.0000  4 Si 2.96
Si 0.3583 0.3583 0.0000  4 Lu 2.96, 4 Ho 3.00

Properties
Energy above the lowest structure with this stoichiometry   79 meV/atom
DOS(E_F)   2.23 states/eV per cell
Energy   -15.62 eV/f.u.
SG   I4mm, No. 107

---

No. 2
## HoLuZnSi (PBE)

Data for a relaxed HoLuZnSi crystal.

Cell: 4.9075 4.9075 4.9075 Å, 60.00 60.00 60.00°
Closest atoms and distances in Å follow each position.
Positions (direct):
Ho 0.0000 0.0000 0.0000  4 Si 3.01, 4 Zn 3.01
Lu 0.5000 0.5000 0.5000  4 Si 3.01, 4 Zn 3.01
Zn 0.2500 0.2500 0.2500  4 Lu 3.01, 4 Ho 3.01
Si 0.7500 0.7500 0.7500  4 Lu 3.01, 4 Ho 3.01

Properties
DOS(E_F)   2.14 states/eV per cell
Energy   -17.57 eV/f.u.
SG   F-43m, No. 216

---

- The lowest energy belongs to which entry?
  HoLuZnSi

---

- Which of these has the lowest energy?
  HoLuZnSi